{
  "formula": "LiAcCe2P4",
  "functional": "GGA-PBE",
  "state": "relaxed",
  "cell": [[2.0900, -6.7985, 0.0000], [2.0900, 6.7985, 0.0000], [0.0000, 0.0000, 13.6005]],
  "species": ["Li", "Li", "Ac", "Ac", "Ce", "Ce", "Ce", "Ce", "P", "P", "P", "P", "P", "P", "P", "P"],
  "frac_coords": [[0.1459, 0.8541, 0.7500], [0.8541, 0.1459, 0.2500], [0.1136, 0.8864, 0.2500], [0.8864, 0.1136, 0.7500], [0.3680, 0.6320, 0.0595], [0.3680, 0.6320, 0.4405], [0.6320, 0.3680, 0.5595], [0.6320, 0.3680, 0.9405], [0.0000, 0.0000, 0.0000], [0.0000, 0.0000, 0.5000], [0.2635, 0.7365, 0.6166], [0.2635, 0.7365, 0.8834], [0.4493, 0.5507, 0.2500], [0.5507, 0.4493, 0.7500], [0.7365, 0.2635, 0.1166], [0.7365, 0.2635, 0.3834]],
  "m_tot_mub_per_fu": 0.0,
  "delta_e_f_ev_per_fu": -9.59,
  "sg": "No. 63"
}

{
  "formula": "Li2AcCe2Pb2",
  "functional": "GGA-PBE",
  "state": "relaxed",
  "cell": [[2.3774, 1.3726, 9.8131], [-2.3774, 1.3726, 9.8131], [0.0000, -2.7452, 9.8131]],
  "species": ["Li", "Li", "Ac", "Ce", "Ce", "Pb", "Pb"],
  "frac_coords": [[0.0783, 0.0783, 0.0783], [0.9217, 0.9217, 0.9217], [0.5000, 0.5000, 0.5000], [0.3538, 0.3538, 0.3538], [0.6462, 0.6462, 0.6462], [0.2407, 0.2407, 0.2407], [0.7593, 0.7593, 0.7593]],
  "m_tot_mub_per_fu": 2.4,
  "delta_e_f_ev_per_fu": -2.18,
  "sg": "No. 166"
}

{
  "formula": "LiAcCePb",
  "functional": "GGA-PBE",
  "state": "relaxed",
  "cell": [[0.0000, 3.9919, 3.9919], [3.9919, 0.0000, 3.9919], [3.9919, 3.9919, 0.0000]],
  "species": ["Li", "Ac", "Ce", "Pb"],
  "frac_coords": [[0.0000, 0.0000, 0.0000], [0.7500, 0.7500, 0.7500], [0.2500, 0.2500, 0.2500], [0.5000, 0.5000, 0.5000]],
  "m_tot_mub_per_fu": 1.5,
  "delta_e_f_ev_per_fu": -0.63,
  "sg": "No. 216"
}

{
  "formula": "LiAcCePd",
  "functional": "GGA-PBE",
  "state": "relaxed",
  "cell": [[0.0000, 3.7495, 3.7495], [3.7495, 0.0000, 3.7495], [3.7495, 3.7495, 0.0000]],
  "species": ["Li", "Ac", "Ce", "Pd"],
  "frac_coords": [[0.0000, 0.0000, 0.0000], [0.2500, 0.2500, 0.2500], [0.7500, 0.7500, 0.7500], [0.5000, 0.5000, 0.5000]],
  "m_tot_mub_per_fu": 1.0,
  "delta_e_f_ev_per_fu": -0.75,
  "sg": "No. 216"
}

{
  "formula": "LiAcCeRh",
  "functional": "GGA-PBE",
  "state": "relaxed",
  "cell": [[0.0000, 3.6783, 3.6783], [3.6783, 0.0000, 3.6783], [3.6783, 3.6783, 0.0000]],
  "species": ["Li", "Ac", "Ce", "Rh"],
  "frac_coords": [[0.0000, 0.0000, 0.0000], [0.2500, 0.2500, 0.2500], [0.7500, 0.7500, 0.7500], [0.5000, 0.5000, 0.5000]],
  "m_tot_mub_per_fu": 0.9,
  "delta_e_f_ev_per_fu": -0.81,
  "sg": "No. 216"
}

{
  "formula": "LiAcCeRu",
  "functional": "GGA-PBE",
  "state": "relaxed",
  "cell": [[0.0000, 3.6537, 3.6537], [3.6537, 0.0000, 3.6537], [3.6537, 3.6537, 0.0000]],
  "species": ["Li", "Ac", "Ce", "Ru"],
  "frac_coords": [[0.0000, 0.0000, 0.0000], [0.2500, 0.2500, 0.2500], [0.7500, 0.7500, 0.7500], [0.5000, 0.5000, 0.5000]],
  "m_tot_mub_per_fu": 0.9,
  "delta_e_f_ev_per_fu": -0.03,
  "sg": "No. 216"
}

{
  "formula": "LiAcCeS4",
  "functional": "GGA-PBE",
  "state": "relaxed",
  "cell": [[2.9780, -7.7912, 0.0000], [2.9780, 7.7912, 0.0000], [0.0000, 0.0000, 6.6431]],
  "species": ["Li", "Li", "Ac", "Ac", "Ce", "Ce", "S", "S", "S", "S", "S", "S", "S", "S"],
  "frac_coords": [[0.2259, 0.7741, 0.7500], [0.7741, 0.2259, 0.2500], [0.1133, 0.8867, 0.2500], [0.8867, 0.1133, 0.7500], [0.3787, 0.6213, 0.2500], [0.6213, 0.3787, 0.7500], [0.0000, 0.5000, 0.0000], [0.0000, 0.5000, 0.5000], [0.0743, 0.9257, 0.7500], [0.4423, 0.5577, 0.7500], [0.5000, 0.0000, 0.0000], [0.5000, 0.0000, 0.5000], [0.5577, 0.4423, 0.2500], [0.9257, 0.0743, 0.2500]],
  "m_tot_mub_per_fu": 0.5,
  "sg": "No. 63",
  "raw_formation_energy_ev_per_fu": -11.80
}

{
  "formula": "Li2AcCeS4",
  "functional": "GGA-PBE",
  "state": "relaxed",
  "cell": [[6.6693, 0.0000, 0.0000], [0.0000, 4.1877, 0.0000], [-2.6478, 0.0000, 6.7702]],
  "species": ["Li", "Li", "Ac", "Ce", "S", "S", "S", "S"],
  "frac_coords": [[0.0000, 0.0000, 0.0000], [0.0000, 0.5000, 0.5000], [0.5000, 0.0000, 0.5000], [0.5000, 0.5000, 0.0000], [0.2387, 0.5000, 0.2344], [0.2429, 0.0000, 0.7578], [0.7571, 0.0000, 0.2422], [0.7613, 0.5000, 0.7656]],
  "m_tot_mub_per_fu": 1.0,
  "sg": "No. 10",
  "raw_formation_energy_ev_per_fu": -13.87
}

{
  "formula": "Li3Ac2CeS6",
  "functional": "GGA-PBE",
  "state": "relaxed",
  "cell": [[3.6160, -6.4949, 0.0000], [3.6160, 6.4949, 0.0000], [-2.1036, 0.0000, 6.2507]],
  "species": ["Li", "Li", "Li", "Ac", "Ac", "Ce", "S", "S", "S", "S", "S", "S"],
  "frac_coords": [[0.0000, 0.0000, 0.0000], [0.3699, 0.6301, 0.0000], [0.6301, 0.3699, 0.0000], [0.1694, 0.8306, 0.5000], [0.8306, 0.1694, 0.5000], [0.5000, 0.5000, 0.5000], [0.1113, 0.4263, 0.2435], [0.2498, 0.2498, 0.7572], [0.4263, 0.1113, 0.2435], [0.5737, 0.8887, 0.7565], [0.7502, 0.7502, 0.2428], [0.8887, 0.5737, 0.7565]],
  "m_tot_mub_per_fu": 1.0,
  "sg": "No. 12",
  "raw_formation_energy_ev_per_fu": -21.06
}

{
  "formula": "LiAcCeSb",
  "functional": "GGA-PBE",
  "state": "relaxed",
  "cell": [[0.0000, 3.9220, 3.9220], [3.9220, 0.0000, 3.9220], [3.9220, 3.9220, 0.0000]],
  "species": ["Li", "Ac", "Ce", "Sb"],
  "frac_coords": [[0.0000, 0.0000, 0.0000], [0.7500, 0.7500, 0.7500], [0.2500, 0.2500, 0.2500], [0.5000, 0.5000, 0.5000]],
  "m_tot_mub_per_fu": 1.9,
  "sg": "No. 216",
  "raw_formation_energy_ev_per_fu": -1.40
}

{
  "formula": "Li3AcCe2Se6",
  "functional": "GGA-PBE",
  "state": "relaxed",
  "cell": [[3.7223, -6.4628, 0.0000], [3.7223, 6.4628, 0.0000], [-2.4562, 0.0000, 6.5151]],
  "species": ["Li", "Li", "Li", "Ac", "Ce", "Ce", "Se", "Se", "Se", "Se", "Se", "Se"],
  "frac_coords": [[0.0000, 0.0000, 0.0000], [0.3267, 0.6733, 0.0000], [0.6733, 0.3267, 0.0000], [0.5000, 0.5000, 0.5000], [0.1661, 0.8339, 0.5000], [0.8339, 0.1661, 0.5000], [0.0690, 0.4145, 0.2401], [0.2417, 0.2417, 0.7639], [0.4145, 0.0690, 0.2401], [0.5855, 0.9310, 0.7599], [0.7583, 0.7583, 0.2361], [0.9310, 0.5855, 0.7599]],
  "m_tot_mub_per_fu": 2.0,
  "sg": "No. 12",
  "raw_formation_energy_ev_per_fu": -19.45
}

{
  "formula": "Li2AcCeSe4",
  "functional": "GGA-PBE",
  "state": "relaxed",
  "cell": [[6.9931, 0.0000, 0.0000], [0.0000, 4.3417, 0.0000], [-2.6950, 0.0000, 7.0262]],
  "species": ["Li", "Li", "Ac", "Ce", "Se", "Se", "Se", "Se"],
  "frac_coords": [[0.0000, 0.0000, 0.0000], [0.0000, 0.5000, 0.5000], [0.5000, 0.0000, 0.5000], [0.5000, 0.5000, 0.0000], [0.2350, 0.5000, 0.2346], [0.2398, 0.0000, 0.7565], [0.7602, 0.0000, 0.2435], [0.7650, 0.5000, 0.7654]],
  "m_tot_mub_per_fu": 1.0,
  "sg": "No. 10",
  "raw_formation_energy_ev_per_fu": -13.05
}

Fermi-level density of states for the records above, in order: 0.032 12.357 11.377 9.016 8.673 7.668 10.829 5.974 4.254 9.988 12.234 6.009 states/eV per cell
Volume for the records above, in order: 24.16 27.45 31.81 26.36 24.88 24.39 22.02 23.64 24.47 30.17 26.12 26.67 Å³/atom
Ρ for the records above, in order: 5.48 8.09 7.59 7.57 7.96 8.09 5.41 4.47 4.57 6.82 5.31 5.42 g/cm3